VASP calculation (PBE-GGA) on a relaxed YGa2Au3 crystal.

Magnetic moment ... 0.00 μB per cell
Energy relative to the elements ... -0.522 eV/atom

abc: 8.790 8.790 10.463
angles: 106.65 106.65 27.65
Fractional positions:
1 Y 0.000 0.000 0.000
2 Y 0.153 0.153 0.690
3 Y 0.847 0.847 0.310
4 Ga 0.199 0.199 0.122
5 Ga 0.360 0.360 0.551
6 Ga 0.465 0.465 0.225
7 Ga 0.535 0.535 0.775
8 Ga 0.640 0.640 0.449
9 Ga 0.801 0.801 0.878
10 Au 0.043 0.043 0.334
11 Au 0.222 0.222 0.376
12 Au 0.328 0.328 0.050
13 Au 0.388 0.388 0.823
14 Au 0.500 0.500 0.500
15 Au 0.612 0.612 0.177
16 Au 0.672 0.672 0.950
17 Au 0.778 0.778 0.624
18 Au 0.957 0.957 0.666